(1)
First-principles (GGA-PBE) data for an optimized crystal structure of LaTaAs, as listed in Alexandria. Values from VASP.

Properties
The total energy comes out at -7.698 eV/atom. As for the energy above the most stable polymorph in this dataset: 0.197 eV per atom.

```
&SYSTEM
  ibrav = 0, nat = 12, ntyp = 3
/
ATOMIC_SPECIES
As 74.92 As.upf
La 138.91 La.upf
Ta 180.95 Ta.upf
ATOMIC_POSITIONS angstrom
As -9.093 -4.198 10.348
As -5.089 -3.328 2.220
As -6.699 -5.173 6.811
As -2.723 -0.155 0.341
La -3.944 -1.821 4.488
La -10.828 -5.978 8.752
La -1.995 -3.002 1.458
La -8.908 -3.010 7.379
Ta -5.746 -2.653 6.539
Ta -1.742 -1.783 -1.589
Ta -10.856 -5.012 12.355
Ta -6.852 -4.142 4.227
CELL_PARAMETERS angstrom
-2.909 0.861 -2.207
0.029 -4.149 -1.658
-10.888 -5.026 12.391
```


(2)
First-principles (GGA-PBE) data for an optimized crystal structure of LaTa2As2, as listed in Alexandria. Values from VASP.

Properties
The total energy comes out at -8.009 eV/atom. As for the energy above the most stable polymorph in this dataset: 0.298 eV per atom.

```
&SYSTEM
  ibrav = 0, nat = 5, ntyp = 3
/
ATOMIC_SPECIES
As 74.92 As.upf
La 138.91 La.upf
Ta 180.95 Ta.upf
ATOMIC_POSITIONS angstrom
As -0.336 1.949 5.636
As -0.172 -1.545 5.767
La 0.000 0.000 0.000
Ta -0.375 0.121 3.702
Ta -0.133 0.283 7.700
CELL_PARAMETERS angstrom
-1.681 3.541 3.023
-1.353 -3.447 3.285
2.525 0.310 5.094
```


(3)
First-principles (GGA-PBE) data for an optimized crystal structure of LaTa3As, as listed in Alexandria. Values from VASP.

Properties
The total energy comes out at -6.731 eV/atom. As for the energy above the most stable polymorph in this dataset: 1.679 eV per atom.

```
&SYSTEM
  ibrav = 0, nat = 5, ntyp = 3
/
ATOMIC_SPECIES
As 74.92 As.upf
La 138.91 La.upf
Ta 180.95 Ta.upf
ATOMIC_POSITIONS angstrom
As 2.476 2.476 2.476
La 0.000 0.000 0.000
Ta 0.000 2.476 0.000
Ta 0.000 0.000 2.476
Ta 2.476 0.000 0.000
CELL_PARAMETERS angstrom
4.952 0.000 0.000
0.000 4.952 0.000
0.000 0.000 4.952
```


(4)
First-principles (GGA-PBE) data for an optimized crystal structure of LaTa2As, as listed in Alexandria. Values from VASP.

Properties
The total energy comes out at -8.223 eV/atom.

```
&SYSTEM
  ibrav = 0, nat = 4, ntyp = 3
/
ATOMIC_SPECIES
As 74.92 As.upf
La 138.91 La.upf
Ta 180.95 Ta.upf
ATOMIC_POSITIONS angstrom
As -0.980 -3.305 -1.731
La 1.804 -2.205 -1.379
Ta 3.336 -5.703 -8.549
Ta 1.873 -3.202 -4.800
CELL_PARAMETERS angstrom
-1.048 -4.068 -4.802
4.520 -1.869 -4.097
-2.648 0.427 5.789
```


(5)
First-principles (GGA-PBE) data for an optimized crystal structure of La2TaAs2, as listed in Alexandria. Values from VASP.

Properties
The total energy comes out at -6.942 eV/atom.

```
&SYSTEM
  ibrav = 0, nat = 10, ntyp = 3
/
ATOMIC_SPECIES
As 74.92 As.upf
La 138.91 La.upf
Ta 180.95 Ta.upf
ATOMIC_POSITIONS angstrom
As 2.552 6.224 0.000
As 6.224 4.791 0.000
As 4.791 1.119 0.000
As 1.119 2.552 0.000
La 1.205 4.877 2.240
La 4.877 6.138 2.240
La 6.138 2.466 2.240
La 2.466 1.205 2.240
Ta 0.000 0.000 0.000
Ta 3.672 3.672 0.000
CELL_PARAMETERS angstrom
7.343 0.000 0.000
0.000 7.343 0.000
0.000 0.000 4.479
```


(6)
First-principles (GGA-PBE) data for an optimized crystal structure of LaTa2As, as listed in Alexandria. Values from VASP.

Properties
The total energy comes out at -8.059 eV/atom.

```
&SYSTEM
  ibrav = 0, nat = 4, ntyp = 3
/
ATOMIC_SPECIES
As 74.92 As.upf
La 138.91 La.upf
Ta 180.95 Ta.upf
ATOMIC_POSITIONS angstrom
As -3.835 2.345 4.855
La -11.506 7.035 14.566
Ta -15.071 9.216 19.080
Ta -7.940 4.855 10.052
CELL_PARAMETERS angstrom
-3.668 4.315 7.042
-6.417 3.737 5.150
-5.256 1.329 7.230
```


(7)
First-principles (GGA-PBE) data for an optimized crystal structure of LaTa2As, as listed in Alexandria. Values from VASP.

Properties
The total energy comes out at -7.792 eV/atom.

```
&SYSTEM
  ibrav = 0, nat = 4, ntyp = 3
/
ATOMIC_SPECIES
As 74.92 As.upf
La 138.91 La.upf
Ta 180.95 Ta.upf
ATOMIC_POSITIONS angstrom
As -1.993 -1.594 1.895
La 0.422 -2.304 -2.148
Ta 0.000 0.000 0.000
Ta -2.447 -1.283 -1.236
CELL_PARAMETERS angstrom
-4.862 -0.572 2.807
-0.032 -1.994 -5.279
0.875 -2.615 0.982
```


(8)
First-principles (GGA-PBE) data for an optimized crystal structure of LaTaAs, as listed in Alexandria. Values from VASP.

Properties
The total energy comes out at -7.624 eV/atom. As for the energy above the most stable polymorph in this dataset: 0.271 eV per atom.

```
&SYSTEM
  ibrav = 0, nat = 6, ntyp = 3
/
ATOMIC_SPECIES
As 74.92 As.upf
La 138.91 La.upf
Ta 180.95 Ta.upf
ATOMIC_POSITIONS angstrom
As 0.000 2.070 5.941
As 2.070 0.000 2.993
La 0.000 2.070 2.871
La 2.070 0.000 6.063
Ta 0.000 2.070 8.509
Ta 2.070 0.000 0.425
CELL_PARAMETERS angstrom
4.140 0.000 0.000
0.000 4.140 0.000
0.000 0.000 8.935
```


Formation enthalpy at 0 K values, unit meV/atom, following the record order: -554, -423, 2296, 98, -741, 261, 528, -480.
Spin magnetization values, unit μB/f.u., following the record order: 0.0, 0.0, 0.0, 0.0, 0.0, 0.0, 0.0, 0.0.